(1)
Compound: SmBN2
Source: Alexandria
Functional: PBE-GGA
Structure: optimized geometry

Cell: 7.3207 7.3207 7.3207 Å, 110.70 110.70 110.70°
With the nearest neighbours (Å) after each atom.
Sites, in units of the cell vectors:
Sm 0.2042 0.7500 0.2958  7 N 2.48-2.64
Sm 0.2500 0.7042 0.7958  7 N 2.48-2.64
Sm 0.7958 0.2500 0.7042  7 N 2.48-2.64
Sm 0.7042 0.7958 0.2500  7 N 2.48-2.64
Sm 0.7500 0.2958 0.2042  7 N 2.48-2.64
Sm 0.2958 0.2042 0.7500  7 N 2.48-2.64
N 0.1264 0.3736 0.2500  2 B 1.47
N 0.0069 0.2500 0.4931  1 B 1.48
N 0.7500 0.8736 0.6264  2 B 1.47
N 0.5069 0.9931 0.7500  1 B 1.48
N 0.6264 0.7500 0.8736  2 B 1.47
N 0.3736 0.2500 0.1264  2 B 1.47
N 0.8736 0.6264 0.7500  2 B 1.47
N 0.4931 0.0069 0.2500  1 B 1.48
N 0.7500 0.5069 0.9931  1 B 1.48
N 0.2500 0.1264 0.3736  2 B 1.47
N 0.9931 0.7500 0.5069  1 B 1.48
N 0.2500 0.4931 0.0069  1 B 1.48
B 0.1295 0.2500 0.3705  3 N 1.47-1.48
B 0.3705 0.1295 0.2500  3 N 1.47-1.48
B 0.7500 0.6295 0.8705  3 N 1.47-1.48
B 0.8705 0.7500 0.6295  3 N 1.47-1.48
B 0.6295 0.8705 0.7500  3 N 1.47-1.48
B 0.2500 0.3705 0.1295  3 N 1.47-1.48

Calculated values
Energy relative to the elements, uncorrected, meV per atom: -1389


(2)
Compound: LaSm2Co
Source: Alexandria
Functional: PBE-GGA
Structure: optimized geometry

Cell: 3.8842 3.8842 9.5416 Å, 78.26 78.26 60.00°
With the nearest neighbours (Å) after each atom.
Sites, in units of the cell vectors:
La 0.5014 0.5014 0.4957  6 Sm 3.80-3.88, 6 La 3.88
Co 0.6661 0.6661 0.0017  6 Sm 2.71
Sm 0.2783 0.2783 0.1651  3 Co 2.71
Sm 0.0542 0.0542 0.8375  3 Co 2.71

Calculated values
Energy of formation, kcal/mol of atoms: 0.3


(3)
Compound: ErGaCuRh
Source: Alexandria
Functional: PBE-GGA
Structure: optimized geometry

Cell: 4.5609 4.5609 4.5609 Å, 60.00 60.00 60.00°
With the nearest neighbours (Å) after each atom.
Sites, in units of the cell vectors:
Ga 0.0000 0.0000 0.0000  4 Rh 2.79, 4 Cu 2.79
Rh 0.2500 0.2500 0.2500  4 Er 2.79, 4 Ga 2.79
Cu 0.7500 0.7500 0.7500  4 Er 2.79, 4 Ga 2.79
Er 0.5000 0.5000 0.5000  4 Cu 2.79, 4 Rh 2.79

Calculated values
Energy of formation, kcal/mol of atoms: -11.9


(4)
Compound: SrFe2Ni
Source: Alexandria
Functional: PBE-GGA
Structure: optimized geometry

Cell: 5.4919 5.4919 5.4919 Å, 148.72 125.53 64.17°
With the nearest neighbours (Å) after each atom.
Sites, in units of the cell vectors:
Ni 0.5404 0.5404 0.0000  2 Fe 2.47
Fe 0.7527 0.2527 0.5000  2 Fe 2.40, 2 Ni 2.47
Fe 0.9552 0.9552 0.0000  2 Fe 2.40
Sr 0.2517 0.7517 0.5000  8 Fe 2.92-3.15, 2 Sr 2.96, 4 Ni 3.07-3.19

Calculated values
Energy of formation, kcal/mol of atoms: 15.2


(5)
Compound: Mg2OsPbO8
Source: Alexandria
Functional: PBE-GGA
Structure: optimized geometry

Cell: 4.7109 4.7071 6.5819 Å, 90.00 90.00 92.98°
With the nearest neighbours (Å) after each atom.
Sites, in units of the cell vectors:
Mg 0.5000 0.5000 0.7566  6 O 2.09-2.12
Mg 0.5000 0.5000 0.2434  6 O 2.09-2.12
O 0.8085 0.1929 0.2046  1 Os 1.88
O 0.1915 0.8071 0.7954  1 Os 1.88
O 0.2882 0.2869 0.0000  1 Os 1.86
O 0.6878 0.6894 0.5000  1 Pb 2.02, 2 Mg 2.09
O 0.8085 0.1929 0.7954  1 Os 1.88
O 0.3122 0.3106 0.5000  1 Pb 2.02, 2 Mg 2.09
O 0.1915 0.8071 0.2046  1 Os 1.88
O 0.7118 0.7131 0.0000  1 Os 1.86
Os 0.0000 0.0000 0.0000  6 O 1.86-1.88
Pb 0.0000 0.0000 0.5000  2 O 2.02

Calculated values
Energy relative to the elements, uncorrected, meV per atom: -1420


(6)
Compound: TbDy4Pu3Se8
Source: Alexandria
Functional: PBE-GGA
Structure: optimized geometry

Cell: 8.1784 8.2278 8.1784 Å, 119.81 119.99 90.00°
With the nearest neighbours (Å) after each atom.
Sites, in units of the cell vectors:
Se 0.2483 0.2450 0.4967  3 Dy 2.88, 3 Pu 2.92
Se 0.7494 0.2457 0.9964  3 Dy 2.88-2.89, 1 Tb 2.91, 2 Pu 2.92
Se 0.2470 0.2457 0.9964  3 Dy 2.88-2.89, 1 Tb 2.91, 2 Pu 2.92
Se 0.7517 0.7550 0.5033  3 Dy 2.88, 3 Pu 2.92
Se 0.2506 0.7543 0.5013  3 Dy 2.88-2.89, 1 Tb 2.91, 2 Pu 2.92
Se 0.7494 0.2457 0.4987  3 Dy 2.88-2.89, 1 Tb 2.91, 2 Pu 2.92
Se 0.7530 0.7543 0.0036  3 Dy 2.88-2.89, 1 Tb 2.91, 2 Pu 2.92
Se 0.2506 0.7543 0.0036  3 Dy 2.88-2.89, 1 Tb 2.91, 2 Pu 2.92
Pu 0.0000 0.5000 0.5000  6 Se 2.92
Pu 0.5000 0.5000 0.0000  6 Se 2.92
Pu 0.5000 0.5000 0.5000  6 Se 2.92
Dy 0.0000 0.0000 0.0000  6 Se 2.88
Dy 0.5000 0.0000 0.5000  6 Se 2.88
Dy 0.5000 0.0000 0.0000  6 Se 2.89
Dy 0.0000 0.0000 0.5000  6 Se 2.88
Tb 0.0000 0.5000 0.0000  6 Se 2.91

Calculated values
Energy relative to the elements, uncorrected, meV per atom: -1698